i) DFT (PBE) results for a geometry-optimized NiHg2Bi2 structure.

Values from the calculation:
Size of the total moment, μB/atom: 0.000
V, Å³ per atom: 29.274

Cell lengths 4.365, 4.365, 15.366 Å; angles 90.00, 90.00, 90.00 degrees
Space group I4/mmm (No. 139)
Inequivalent atoms, fractional coordinates:
1 Ni 0.000 0.000 0.000 x2
2 Hg 0.000 0.000 0.411 x4
3 Bi 0.000 0.500 0.250 x4

ii) DFT (PBE) results for a geometry-optimized NiHg2Bi2 structure.

Values from the calculation:
Size of the total moment, μB/atom: 0.000
V, Å³ per atom: 24.893

Cell lengths 7.023, 7.023, 5.047 Å; angles 90.00, 90.00, 90.00 degrees
Space group P4/mbm (No. 127)
Inequivalent atoms, fractional coordinates:
1 Ni 0.000 0.000 0.000 x2
2 Hg 0.155 0.345 0.000 x4
3 Bi 0.168 0.668 0.500 x4

ii) ends up most stable, edging out the next structure by 37.2 kJ/mol of atoms.

i) DFT (PBE) results for a geometry-optimized NiHg3Bi structure.

Values from the calculation:
Size of the total moment, μB/atom: 0.000
V, Å³ per atom: 25.231

Cell lengths 5.015, 5.015, 5.015 Å; angles 90.00, 90.00, 90.00 degrees
Space group Pm-3m (No. 221)
Inequivalent atoms, fractional coordinates:
1 Ni 0.000 0.000 0.000 x1
2 Hg 0.000 0.000 0.500 x3
3 Bi 0.500 0.500 0.500 x1

ii) DFT (PBE) results for a geometry-optimized NiHg3Bi structure.

Values from the calculation:
Size of the total moment, μB/atom: 0.234
V, Å³ per atom: 40.291

Cell lengths 5.862, 5.862, 5.862 Å; angles 90.00, 90.00, 90.00 degrees
Space group Pm-3m (No. 221)
Inequivalent atoms, fractional coordinates:
1 Ni 0.000 0.000 0.000 x1
2 Hg 0.000 0.500 0.500 x3
3 Bi 0.500 0.500 0.500 x1

i) ends up most stable, edging out the next structure by 64.0 kJ/mol of atoms.

i) DFT (PBE) results for a geometry-optimized NiHgBi3 structure.

Values from the calculation:
Size of the total moment, μB/atom: 0.000
V, Å³ per atom: 28.493

Cell lengths 5.223, 5.223, 5.223 Å; angles 90.00, 90.00, 90.00 degrees
Space group Pm-3m (No. 221)
Inequivalent atoms, fractional coordinates:
1 Ni 0.000 0.000 0.000 x1
2 Hg 0.500 0.500 0.500 x1
3 Bi 0.000 0.000 0.500 x3

ii) DFT (PBE) results for a geometry-optimized NiHgBi3 structure.

Values from the calculation:
Size of the total moment, μB/atom: 0.000
V, Å³ per atom: 28.273

Cell lengths 8.387, 4.102, 8.569 Å; angles 90.00, 106.45, 90.00 degrees
Space group P2_1/m (No. 11)
Inequivalent atoms, fractional coordinates:
1 Ni 0.075 0.250 0.079 x2
2 Hg 0.326 0.750 0.683 x2
3 Bi 0.021 0.250 0.745 x2
4 Bi 0.277 0.750 0.043 x2
5 Bi 0.313 0.250 0.373 x2

ii) ends up most stable, edging out the next structure by 27.5 kJ/mol of atoms.